First-principles (PBE) data for an optimized crystal structure of AcNpGe2, as listed in Alexandria.

a b c (Å): 3.4836 3.4836 8.2738
angles (deg): 90.00 90.00 90.00
Last column: nearest neighbours and their distance in Å.
Fractional coordinates of all 4 atoms:
Ge1 0.0000 0.0000 0.2302  4 Np 3.11, 4 Ac 3.32, 4 Ge 3.48
Np1 0.5000 0.5000 0.0000  8 Ge 3.11, 4 Np 3.48
Ac1 0.5000 0.5000 0.5000  8 Ge 3.32, 4 Ac 3.48
Ge2 0.0000 0.0000 0.7698  4 Np 3.11, 4 Ac 3.32, 4 Ge 3.48

Calculated values
crystal system: tetragonal
DOS at the Fermi energy: 6.47 states/eV per cell
spin magnetization: 4.135 μB per cell
energy: -6.83 eV/atom
energy relative to the elements: -254.1 meV per atom